No. 1
First-principles (GGA-PBE) data for crystalline BaCaCd3 at its relaxed geometry, as listed in Alexandria via LeMat-Bulk.

Cell: 6.1784 6.1784 6.1784 Å, 90.00 90.00 90.00°
Closest atoms and distances in Å follow each position.
Element x y z (fractional)
Cd 0.5000 0.0000 0.0000  2 Ba 3.09
Cd 0.0000 0.0000 0.5000  2 Ba 3.09
Cd 0.0000 0.5000 0.0000  2 Ba 3.09
Ba 0.0000 0.0000 0.0000  6 Cd 3.09
Ca 0.5000 0.5000 0.5000  12 Cd 4.37

Output
Volume = 235.8 Å³ per cell
Formation energy from the elements = 0.472 eV/atom
Calculated total energy = -0.86 eV/atom

---

No. 2
First-principles (GGA-PBE) data for crystalline LiHfCuRh at its relaxed geometry, as listed in Alexandria via LeMat-Bulk.

Cell: 4.4232 4.4232 4.4232 Å, 60.00 60.00 60.00°
Closest atoms and distances in Å follow each position.
Element x y z (fractional)
Rh 0.7500 0.7500 0.7500  4 Li 2.71, 4 Hf 2.71
Hf 0.0000 0.0000 0.0000  4 Rh 2.71, 4 Cu 2.71
Cu 0.2500 0.2500 0.2500  4 Hf 2.71, 4 Li 2.71
Li 0.5000 0.5000 0.5000  4 Cu 2.71, 4 Rh 2.71

Output
Volume = 61.2 Å³ per cell
Formation energy from the elements = -0.346 eV/atom
Calculated total energy = -6.17 eV/atom

---

No. 3
First-principles (GGA-PBE) data for crystalline TlCrP2 at its relaxed geometry, as listed in Alexandria via LeMat-Bulk.

Cell: 5.8834 5.8834 6.9648 Å, 65.02 65.02 90.00°
Closest atoms and distances in Å follow each position.
Element x y z (fractional)
Tl 0.0000 0.0000 0.0000  4 P 2.88
Tl 0.7500 0.2500 0.5000  4 P 2.88
P 0.3750 0.4732 0.7500  2 Cr 2.22
P 0.5268 0.1250 0.2500  2 Cr 2.22
P 0.8750 0.7768 0.7500  2 Cr 2.22
P 0.2232 0.6250 0.2500  2 Cr 2.22
Cr 0.2500 0.7500 0.5000  4 P 2.22
Cr 0.5000 0.5000 0.0000  4 P 2.22

Output
Volume = 193.3 Å³ per cell
Formation energy from the elements = 0.164 eV/atom
Calculated total energy = -5.54 eV/atom